## Sm2HoAg3Se6 (PBE)

Data for a relaxed Sm2HoAg3Se6 crystal.

extended XYZ file:
```
12
Lattice="8.810 -2.117 0.000 8.810 2.117 0.000 -1.313 0.000 8.015" Properties=species:S:1:pos:R:3 pbc="T T T"
Sm 2.506 0.000 2.608
Sm 13.800 0.000 5.407
Ho 8.810 0.000 0.000
Ag 1.987 0.000 6.525
Ag 8.153 0.000 4.008
Ag 14.319 0.000 1.490
Se -0.965 0.000 6.083
Se 4.692 0.000 7.414
Se 5.358 0.000 3.388
Se 10.948 0.000 4.627
Se 11.614 0.000 0.601
Se 17.271 0.000 1.933
```

Computed properties:
The value obtained for the total magnetization is 0.000 μB/atom. The formation energy without anion corrections comes out at -1.16 eV/atom.